Density functional theory data (PBE-GGA) for GaTcPOs after structural relaxation.

## Properties
- Space-group type: No. 6
- Total magnetization: 0.00 Bohr magnetons per cell
- Formation energy from the elements: -0.79 eV/f.u.
- Theoretical density: 11365 kg/m³
- Total energy: -30.8 eV for the cell shown

a = 3.1223 Å, b = 3.0821 Å, c = 6.1009 Å
α = 90.00°, β = 104.56°, γ = 90.00°
Closest atoms and distances in Å follow each position.
Element x y z (fractional)
Ga: 0.0970 0.0000 0.6698  4 Os 2.57, 2 Tc 2.76, 1 P 2.80
Os: 0.4848 0.5000 0.4426  2 P 2.34, 4 Ga 2.57
Tc: 0.7908 0.5000 0.9730  4 P 2.41-2.43
P: 0.3698 0.0000 0.1444  2 Os 2.34, 4 Tc 2.41-2.43


Density functional theory data (PBE-GGA) for GaTcPOs after structural relaxation.

## Properties
- Space-group type: No. 44
- Total magnetization: 0.00 Bohr magnetons per cell
- Formation energy from the elements: -0.60 eV/f.u.
- Theoretical density: 11218 kg/m³
- Total energy: -61.3 eV for the cell shown

a = 2.9500 Å, b = 3.8398 Å, c = 10.1646 Å
α = 90.00°, β = 90.00°, γ = 90.00°
Closest atoms and distances in Å follow each position.
Element x y z (fractional)
Tc: 0.0000 0.0000 0.0258  4 P 2.49, 2 Ga 2.67
P: 0.5000 0.5000 0.9666  2 Os 2.36, 4 Tc 2.49
Ga: 0.5000 0.0000 0.7090  4 Os 2.54, 2 Tc 2.67
P: 0.0000 0.0000 0.4666  2 Os 2.36, 4 Tc 2.49
Os: 0.0000 0.5000 0.7859  2 P 2.36, 4 Ga 2.54
Tc: 0.5000 0.5000 0.5258  4 P 2.49, 2 Ga 2.67
Os: 0.5000 0.0000 0.2859  2 P 2.36, 4 Ga 2.54
Ga: 0.0000 0.5000 0.2090  4 Os 2.54, 2 Tc 2.67


Density functional theory data (PBE-GGA) for GaTcPOs after structural relaxation.

## Properties
- Space-group type: No. 8
- Total magnetization: 0.00 Bohr magnetons per cell
- Formation energy from the elements: -0.48 eV/f.u.
- Theoretical density: 11442 kg/m³
- Total energy: -61.0 eV for the cell shown

a = 5.1200 Å, b = 2.9660 Å, c = 8.8842 Å
α = 90.00°, β = 123.21°, γ = 90.00°
Closest atoms and distances in Å follow each position.
Element x y z (fractional)
P: 0.9689 0.5000 0.8870  3 Tc 2.43-2.54, 3 Os 2.43-2.68
Tc: 0.0186 0.0000 0.1176  3 P 2.43-2.54, 3 Ga 2.56-2.62
Ga: 0.4285 0.5000 0.3885  3 Os 2.50-2.58, 3 Tc 2.56-2.62, 2 P 2.78
Tc: 0.0186 0.5000 0.6176  3 P 2.43-2.54, 3 Ga 2.56-2.62
Os: 0.5712 0.5000 0.1606  3 P 2.43-2.68, 3 Ga 2.50-2.58
Ga: 0.4285 0.0000 0.8885  3 Os 2.50-2.58, 3 Tc 2.56-2.62, 2 P 2.78
Os: 0.5712 0.0000 0.6606  3 P 2.43-2.68, 3 Ga 2.50-2.58
P: 0.9689 0.0000 0.3870  3 Tc 2.43-2.54, 3 Os 2.43-2.68


Density functional theory data (PBE-GGA) for GaTcPOs after structural relaxation.

## Properties
- Space-group type: No. 6
- Total magnetization: 0.00 Bohr magnetons per cell
- Formation energy from the elements: -0.38 eV/f.u.
- Theoretical density: 10922 kg/m³
- Total energy: -30.4 eV for the cell shown

a = 4.2822 Å, b = 2.8536 Å, c = 4.9431 Å
α = 90.00°, β = 101.79°, γ = 90.00°
Closest atoms and distances in Å follow each position.
Element x y z (fractional)
P: 0.2507 0.0000 0.2108  2 Os 2.31-2.32, 2 Tc 2.36, 2 Ga 2.53-2.55
Os: 0.7917 0.0000 0.3904  2 P 2.31-2.32
Tc: 0.9212 0.5000 0.8958  2 P 2.36
Ga: 0.3865 0.0000 0.7328  2 P 2.53-2.55, 2 Os 2.66-2.76, 4 Tc 2.68-2.70


Density functional theory data (PBE-GGA) for GaTcPOs after structural relaxation.

## Properties
- Space-group type: No. 8
- Total magnetization: 0.00 Bohr magnetons per cell
- Formation energy from the elements: -0.32 eV/f.u.
- Theoretical density: 11435 kg/m³
- Total energy: -60.7 eV for the cell shown

a = 8.0291 Å, b = 2.8833 Å, c = 4.9918 Å
α = 90.00°, β = 102.20°, γ = 90.00°
Closest atoms and distances in Å follow each position.
Element x y z (fractional)
Ga: 0.6839 0.0000 0.8081  3 Tc 2.70-2.73, 3 Os 2.73-2.76, 6 Ga 2.88
P: 0.1824 0.0000 0.3071  3 Os 2.41-2.43, 3 Tc 2.42-2.43
Tc: 0.9567 0.0000 0.5610  3 P 2.42-2.43, 2 Ga 2.70
Os: 0.4067 0.0000 0.0546  3 P 2.41-2.43
Os: 0.4067 0.5000 0.5546  3 P 2.41-2.43
P: 0.1824 0.5000 0.8071  3 Os 2.41-2.43, 3 Tc 2.42-2.43
Ga: 0.6839 0.5000 0.3081  3 Tc 2.70-2.73, 3 Os 2.73-2.76, 6 Ga 2.88
Tc: 0.9567 0.5000 0.0610  3 P 2.42-2.43, 2 Ga 2.70


Density functional theory data (PBE-GGA) for GaTcPOs after structural relaxation.

## Properties
- Space-group type: No. 8
- Total magnetization: 0.00 Bohr magnetons per cell
- Formation energy from the elements: -0.24 eV/f.u.
- Theoretical density: 11270 kg/m³
- Total energy: -60.5 eV for the cell shown

a = 4.9714 Å, b = 2.9043 Å, c = 8.3553 Å
α = 90.00°, β = 108.19°, γ = 90.00°
Closest atoms and distances in Å follow each position.
Element x y z (fractional)
Tc: 0.9224 0.5000 0.6943  2 P 2.37, 3 Ga 2.49-2.62
Os: 0.3706 0.0000 0.6288  3 P 2.39-2.48
Ga: 0.7027 0.5000 0.9242  3 Tc 2.49-2.62, 2 P 2.68, 1 Os 2.72
Os: 0.3706 0.5000 0.1288  3 P 2.39-2.48
P: 0.2340 0.5000 0.3902  2 Tc 2.37, 3 Os 2.39-2.48
Ga: 0.7027 0.0000 0.4242  3 Tc 2.49-2.62, 2 P 2.68, 1 Os 2.72
P: 0.2340 0.0000 0.8902  2 Tc 2.37, 3 Os 2.39-2.48
Tc: 0.9224 0.0000 0.1943  2 P 2.37, 3 Ga 2.49-2.62


Density functional theory data (PBE-GGA) for GaTcPOs after structural relaxation.

## Properties
- Space-group type: No. 8
- Total magnetization: 0.00 Bohr magnetons per cell
- Formation energy from the elements: -0.38 eV/f.u.
- Theoretical density: 10930 kg/m³
- Total energy: -60.8 eV for the cell shown

a = 4.6764 Å, b = 2.9686 Å, c = 8.9363 Å
α = 90.00°, β = 107.71°, γ = 90.00°
Closest atoms and distances in Å follow each position.
Element x y z (fractional)
Tc: 0.8828 0.0000 0.1688  3 P 2.45-2.63, 2 Ga 2.70
Ga: 0.4318 0.0000 0.7131  1 P 2.47, 3 Os 2.48-2.49, 2 Tc 2.70
Os: 0.4638 0.5000 0.9405  2 P 2.32-2.39, 3 Ga 2.48-2.49
Os: 0.4638 0.0000 0.4405  2 P 2.32-2.39, 3 Ga 2.48-2.49
Ga: 0.4318 0.5000 0.2131  1 P 2.47, 3 Os 2.48-2.49, 2 Tc 2.70
Tc: 0.8828 0.5000 0.6688  3 P 2.45-2.63, 2 Ga 2.70
P: 0.9918 0.5000 0.9749  2 Os 2.32-2.39, 2 Tc 2.45, 1 Ga 2.47
P: 0.9918 0.0000 0.4749  2 Os 2.32-2.39, 2 Tc 2.45, 1 Ga 2.47


Density functional theory data (PBE-GGA) for GaTcPOs after structural relaxation.

## Properties
- Space-group type: No. 99
- Total magnetization: 0.00 Bohr magnetons per cell
- Formation energy from the elements: -0.48 eV/f.u.
- Theoretical density: 11946 kg/m³
- Total energy: -30.5 eV for the cell shown

a = 2.9622 Å, b = 2.9622 Å, c = 6.1609 Å
α = 90.00°, β = 90.00°, γ = 90.00°
Closest atoms and distances in Å follow each position.
Element x y z (fractional)
P: 0.5000 0.5000 0.1770  4 Tc 2.50, 4 Os 2.56
Os: 0.0000 0.0000 0.4156  4 P 2.56, 4 Ga 2.66, 1 Tc 2.83
Ga: 0.5000 0.5000 0.6817  4 Os 2.66, 4 Tc 2.69, 4 Ga 2.96
Tc: 0.0000 0.0000 0.9554  4 P 2.50, 4 Ga 2.69


Density functional theory data (PBE-GGA) for GaTcPOs after structural relaxation.

## Properties
- Space-group type: No. 8
- Total magnetization: 0.00 Bohr magnetons per cell
- Formation energy from the elements: -0.51 eV/f.u.
- Theoretical density: 11244 kg/m³
- Total energy: -61.1 eV for the cell shown

a = 4.9540 Å, b = 2.9299 Å, c = 8.4974 Å
α = 90.00°, β = 111.35°, γ = 90.00°
Closest atoms and distances in Å follow each position.
Element x y z (fractional)
Ga: 0.6483 0.5000 0.7920  3 Os 2.49-2.59, 2 P 2.65
P: 0.1151 0.0000 0.8330  2 Os 2.36, 3 Tc 2.39-2.46
Os: 0.4511 0.5000 0.0230  2 P 2.36, 3 Ga 2.49-2.59
Ga: 0.6483 0.0000 0.2920  3 Os 2.49-2.59, 2 P 2.65
Os: 0.4511 0.0000 0.5230  2 P 2.36, 3 Ga 2.49-2.59
P: 0.1151 0.5000 0.3330  2 Os 2.36, 3 Tc 2.39-2.46
Tc: 0.0153 0.0000 0.0957  3 P 2.39-2.46
Tc: 0.0153 0.5000 0.5957  3 P 2.39-2.46


Density functional theory data (PBE-GGA) for GaTePOs2 after structural relaxation.

## Properties
- Space-group type: No. 123
- Total magnetization: 0.13 Bohr magnetons per cell
- Theoretical density: 8356 kg/m³
- Formation energy from raw total energies: 2.229 eV per atom
- Total energy: -22.9 eV for the cell shown

a = 4.8618 Å, b = 5.1179 Å, c = 4.8618 Å
α = 90.00°, β = 90.00°, γ = 90.00°
Closest atoms and distances in Å follow each position.
Element x y z (fractional)
Te: 0.0000 0.0000 0.0000  4 Os 2.43, 2 Ga 2.56
Os: 0.5000 0.0000 0.0000  2 Te 2.43
Ga: 0.0000 0.5000 0.0000  2 Te 2.56
Os: 0.0000 0.0000 0.5000  2 Te 2.43
P: 0.5000 0.5000 0.5000  4 Ga 3.44, 8 Os 3.53


Density functional theory data (PBE-GGA) for GaTePOs2 after structural relaxation.

## Properties
- Space-group type: No. 123
- Total magnetization: 0.00 Bohr magnetons per cell
- Theoretical density: 10665 kg/m³
- Formation energy from raw total energies: 0.902 eV per atom
- Total energy: -29.5 eV for the cell shown

a = 4.4848 Å, b = 4.7123 Å, c = 4.4848 Å
α = 90.00°, β = 90.00°, γ = 90.00°
Closest atoms and distances in Å follow each position.
Element x y z (fractional)
Ga: 0.0000 0.5000 0.0000  2 P 2.36
Os: 0.5000 0.0000 0.0000  2 P 2.24
Os: 0.0000 0.0000 0.5000  2 P 2.24
P: 0.0000 0.0000 0.0000  4 Os 2.24, 2 Ga 2.36
Te: 0.5000 0.5000 0.5000  4 Ga 3.17, 8 Os 3.25


Density functional theory data (PBE-GGA) for ZnGa2POs after structural relaxation.

## Properties
- Space-group type: No. 123
- Total magnetization: 0.90 Bohr magnetons per cell
- Formation energy from the elements: 6.28 eV/f.u.
- Theoretical density: 7224 kg/m³
- Total energy: -17.7 eV for the cell shown

a = 4.5308 Å, b = 4.7709 Å, c = 4.5308 Å
α = 90.00°, β = 90.00°, γ = 90.00°
Closest atoms and distances in Å follow each position.
Element x y z (fractional)
Ga: 0.5000 0.0000 0.0000  2 Zn 2.27
P: 0.5000 0.5000 0.5000  4 Os 3.20, 8 Ga 3.29
Os: 0.0000 0.5000 0.0000  2 Zn 2.39
Zn: 0.0000 0.0000 0.0000  4 Ga 2.27, 2 Os 2.39
Ga: 0.0000 0.0000 0.5000  2 Zn 2.27